This record from Alexandria via LeMat-Bulk describes Ba3V2O6 after structural relaxation. The functional is PBE with a Hubbard U.

The value obtained for the total energy is -6.929 eV/atom.

The structure belongs to space group I4/mmm (No. 139); the cell edges are 4.048, 4.048 and 21.873 Å and the angles 90.00°, 90.00° and 90.00°. Symmetry generates all atoms from Ba at (0.000, 0.000, 0.000), Ba at (0.000, 0.000, 0.184), V at (0.000, 0.000, 0.399), O at (0.000, 0.000, 0.308) and O at (0.000, 0.500, 0.087).